No. 1
{"formula": "LaNpTiO6", "functional": "PBE", "state": "relaxed", "m_tot_mub_per_fu": 2.00, "lattice_angstrom": [[5.4803, 0.0000, 0.0000], [-2.7401, 4.7461, 0.0000], [0.0000, 0.0000, 10.2000]], "species": ["La", "La", "Np", "Np", "Ti", "Ti", "O", "O", "O", "O", "O", "O", "O", "O", "O", "O", "O", "O"], "fractional_positions": [[0.0000, 0.0000, 0.0000], [0.0000, 0.0000, 0.5000], [0.6667, 0.3333, 0.2500], [0.3333, 0.6667, 0.7500], [0.3333, 0.6667, 0.2500], [0.6667, 0.3333, 0.7500], [0.6273, 0.6460, 0.1428], [0.0187, 0.3727, 0.1428], [0.3727, 0.0187, 0.6428], [0.9813, 0.6273, 0.8572], [0.3540, 0.3727, 0.3572], [0.0187, 0.6460, 0.3572], [0.6460, 0.0187, 0.8572], [0.6273, 0.9813, 0.3572], [0.9813, 0.3540, 0.6428], [0.3540, 0.9813, 0.1428], [0.6460, 0.6273, 0.6428], [0.3727, 0.3540, 0.8572]]}


No. 2
{"formula": "CsGaAs2O8", "functional": "PBE", "state": "relaxed", "m_tot_mub_per_fu": 2.01, "lattice_angstrom": [[5.1675, 0.0000, 0.0000], [2.5838, 4.4752, 0.0000], [2.5838, 1.4917, 9.3260]], "species": ["Cs", "Ga", "As", "As", "O", "O", "O", "O", "O", "O", "O", "O"], "fractional_positions": [[0.0000, 0.0000, 0.0000], [0.5000, 0.5000, 0.5000], [0.7711, 0.7711, 0.6868], [0.2289, 0.2289, 0.3132], [0.7105, 0.7105, 0.8684], [0.2895, 0.2895, 0.1316], [0.5003, 0.2622, 0.3694], [0.7378, 0.4997, 0.6306], [0.1319, 0.7378, 0.6306], [0.2622, 0.8681, 0.3694], [0.8681, 0.5003, 0.3694], [0.4997, 0.1319, 0.6306]]}


The following electronic total energy values (in eV per atom) correspond, in order, to the records above: -9.30, -5.56.
The following DOS(E_F) values (in states/eV per cell) correspond, in order, to the records above: 15.40, 3.57.
The following energy relative to the elements, uncorrected values (in eV/atom) correspond, in order, to the records above: -3.1348, -1.1538.